Record 1
VASP calculation (PBE) on a relaxed TeI2BrF crystal.

Computed properties:
- Density of states at the Fermi level: 1.450 states/eV per atom
- Raw formation energy: 80 meV/atom
- Crystal system: tetragonal
- E above lowest polymorph: 0 meV per atom
- Magnetic moment: 0.638 μB/cell
- SG: P4/mmm (123)
- E_tot: -9.387 eV/cell

Lattice parameters (Å, degrees): 6.0611 6.0611 4.2204 90.00 90.00 90.00
Last column: nearest neighbours and their distance in Å.
Fractional coordinates of all 5 atoms:
Te 0.0000 0.0000 0.0000  2 F 2.11
I 0.0000 0.5000 0.5000  2 F 3.03
I 0.5000 0.0000 0.5000  2 F 3.03
Br 0.5000 0.5000 0.0000  8 I 3.69
F 0.0000 0.0000 0.5000  2 Te 2.11



Record 2
VASP calculation (PBE) on a relaxed Pr2HoNi9 crystal.

Computed properties:
- Density of states at the Fermi level: 1.154 states/eV per atom
- Crystal system: trigonal
- Magnetic moment: 1.035 μB/cell
- SG: R-3m (166)
- E_tot: -70.022 eV/cell

Lattice parameters (Å, degrees): 8.8000 8.8000 8.8000 33.02 33.02 33.02
Last column: nearest neighbours and their distance in Å.
Fractional coordinates of all 12 atoms:
Pr 0.1376 0.1376 0.1376  9 Ni 2.89-2.98, 3 Pr 3.23
Pr 0.8624 0.8624 0.8624  9 Ni 2.89-2.98, 3 Pr 3.23
Ho 0.0000 0.0000 0.0000  18 Ni 2.89-3.19
Ni 0.0803 0.5786 0.5786  7 Ni 2.44-2.61
Ni 0.3328 0.3328 0.3328  6 Ni 2.44-2.45
Ni 0.4214 0.4214 0.9197  7 Ni 2.44-2.61
Ni 0.4214 0.9197 0.4214  7 Ni 2.44-2.61
Ni 0.5000 0.5000 0.5000  6 Ni 2.61
Ni 0.5786 0.0803 0.5786  7 Ni 2.44-2.61
Ni 0.5786 0.5786 0.0803  7 Ni 2.44-2.61
Ni 0.6672 0.6672 0.6672  6 Ni 2.44-2.45
Ni 0.9197 0.4214 0.4214  7 Ni 2.44-2.61



Record 3
VASP calculation (PBE) on a relaxed Tc2Pb crystal.

Computed properties:
- Density of states at the Fermi level: 0.880 states/eV per atom
- Crystal system: monoclinic
- E above lowest polymorph: 225 meV per atom
- Magnetic moment: 0.001 μB/cell
- SG: Cm (8)
- E_tot: -90.708 eV/cell

Lattice parameters (Å, degrees): 10.3204 3.0929 6.9410 90.00 97.73 90.00
Last column: nearest neighbours and their distance in Å.
Fractional coordinates of all 12 atoms:
Tc 0.0000 0.0000 0.0000  3 Tc 2.55-2.82, 3 Pb 2.78-2.84
Tc 0.0936 0.5000 0.2758  6 Tc 2.55-2.82, 1 Pb 2.85
Tc 0.2424 0.0000 0.5524  4 Tc 2.65-2.76, 3 Pb 2.84-2.95
Tc 0.3748 0.5000 0.3376  6 Tc 2.65-2.88, 4 Pb 2.91-2.93
Tc 0.5000 0.5000 0.0000  3 Tc 2.55-2.82, 3 Pb 2.78-2.84
Tc 0.5936 0.0000 0.2758  6 Tc 2.55-2.82, 1 Pb 2.85
Tc 0.7424 0.5000 0.5524  4 Tc 2.65-2.76, 3 Pb 2.84-2.95
Tc 0.8748 0.0000 0.3376  6 Tc 2.65-2.88, 4 Pb 2.91-2.93
Pb 0.0182 0.5000 0.6565  8 Tc 2.84-2.95, 2 Pb 3.09
Pb 0.2688 0.0000 0.9973  6 Tc 2.78-3.06, 2 Pb 3.09
Pb 0.5182 0.0000 0.6565  8 Tc 2.84-2.95, 2 Pb 3.09
Pb 0.7688 0.5000 0.9973  6 Tc 2.78-3.06, 2 Pb 3.09



Record 4
VASP calculation (PBE) on a relaxed AlGaH2Rh crystal.

Computed properties:
- Density of states at the Fermi level: 0.375 states/eV per atom
- Crystal system: tetragonal
- Magnetic moment: 0.000 μB/cell
- SG: P4/mmm (123)
- E_tot: -20.352 eV/cell

Lattice parameters (Å, degrees): 3.4613 3.4613 5.3871 90.00 90.00 90.00
Last column: nearest neighbours and their distance in Å.
Fractional coordinates of all 5 atoms:
Al 0.0000 0.0000 0.0000  4 Rh 2.45
Ga 0.5000 0.5000 0.5000  4 H 1.73
H 0.0000 0.5000 0.5000  2 Ga 1.73
H 0.5000 0.0000 0.5000  2 Ga 1.73
Rh 0.5000 0.5000 0.0000  4 Al 2.45, 2 Ga 2.69



Record 5
VASP calculation (PBE) on a relaxed ThInGa4 crystal.

Computed properties:
- Density of states at the Fermi level: 1.242 states/eV per atom
- Crystal system: cubic
- Magnetic moment: 0.000 μB/cell
- SG: F-43m (216)
- E_tot: -23.383 eV/cell

Lattice parameters (Å, degrees): 5.6544 5.6544 5.6544 60.00 60.00 60.00
Last column: nearest neighbours and their distance in Å.
Fractional coordinates of all 6 atoms:
Th 0.0000 0.0000 0.0000  12 Ga 3.32, 4 In 3.46
In 0.7500 0.7500 0.7500  12 Ga 3.31, 4 Th 3.46
Ga 0.3751 0.3751 0.3751  6 Ga 2.82-2.83
Ga 0.3751 0.3751 0.8746  6 Ga 2.82-2.83
Ga 0.3751 0.8746 0.3751  6 Ga 2.82-2.83
Ga 0.8746 0.3751 0.3751  6 Ga 2.82-2.83



Record 6
VASP calculation (PBE) on a relaxed AcLa3Pm6Sm2 crystal.

Computed properties:
- Density of states at the Fermi level: 1.584 states/eV per atom
- Crystal system: monoclinic
- Magnetic moment: 0.000 μB/cell
- SG: C2/m (12)
- E_tot: -56.598 eV/cell

Lattice parameters (Å, degrees): 6.4158 6.4158 12.2370 95.02 95.02 120.03
Last column: nearest neighbours and their distance in Å.
Fractional coordinates of all 12 atoms:
Ac 0.0000 0.0000 0.0000  6 Sm 3.70-3.71, 6 Pm 3.70-3.71
La 0.1676 0.8324 0.5000  6 Pm 3.68-3.70, 6 La 3.69-3.73
La 0.5000 0.5000 0.5000  6 Pm 3.68-3.70, 6 La 3.69-3.71
La 0.8324 0.1676 0.5000  6 Pm 3.68-3.70, 6 La 3.69-3.73
Pm 0.0836 0.4199 0.2500  3 La 3.68-3.70, 6 Pm 3.69-3.74, 2 Sm 3.69, 1 Ac 3.70
Pm 0.2524 0.2524 0.7495  3 La 3.68-3.70, 6 Pm 3.69-3.74, 2 Sm 3.69, 1 Ac 3.71
Pm 0.4199 0.0836 0.2500  3 La 3.68-3.70, 6 Pm 3.69-3.74, 2 Sm 3.69, 1 Ac 3.70
Pm 0.5801 0.9164 0.7500  3 La 3.68-3.70, 6 Pm 3.69-3.74, 2 Sm 3.69, 1 Ac 3.70
Pm 0.7476 0.7476 0.2505  3 La 3.68-3.70, 6 Pm 3.69-3.74, 2 Sm 3.69, 1 Ac 3.71
Pm 0.9164 0.5801 0.7500  3 La 3.68-3.70, 6 Pm 3.69-3.74, 2 Sm 3.69, 1 Ac 3.70
Sm 0.3334 0.6666 0.0000  6 Pm 3.69, 3 Ac 3.70-3.71, 3 Sm 3.70
Sm 0.6666 0.3334 0.0000  6 Pm 3.69, 3 Ac 3.70-3.71, 3 Sm 3.70



Record 7
VASP calculation (PBE) on a relaxed CeThPdN3 crystal.

Computed properties:
- Density of states at the Fermi level: 0.434 states/eV per atom
- Raw formation energy: -861 meV/atom
- Crystal system: monoclinic
- Magnetic moment: 0.000 μB/cell
- SG: P2_1/m (11)
- E_tot: -97.377 eV/cell

Lattice parameters (Å, degrees): 7.3982 3.4977 7.6158 90.00 94.27 90.00
Last column: nearest neighbours and their distance in Å.
Fractional coordinates of all 12 atoms:
Ce 0.1405 0.2500 0.1891  3 N 2.37-2.42
Ce 0.8595 0.7500 0.8109  3 N 2.37-2.42
Th 0.3665 0.7500 0.8233  5 N 2.32-2.53
Th 0.6335 0.2500 0.1767  5 N 2.32-2.53
Pd 0.1283 0.2500 0.5818  4 N 2.19-2.25
Pd 0.8717 0.7500 0.4182  4 N 2.19-2.25
N 0.1306 0.2500 0.8776  1 Pd 2.25, 1 Ce 2.37
N 0.1673 0.7500 0.4087  3 Pd 2.19-2.22, 2 Ce 2.42
N 0.4059 0.7500 0.1278  3 Th 2.32-2.44
N 0.5941 0.2500 0.8722  3 Th 2.32-2.44
N 0.8327 0.2500 0.5913  3 Pd 2.19-2.22, 2 Ce 2.42
N 0.8694 0.7500 0.1224  1 Pd 2.25, 1 Ce 2.37



Record 8
VASP calculation (PBE) on a relaxed LiReP2N6 crystal.

Computed properties:
- Raw formation energy: -245 meV/atom
- Crystal system: monoclinic
- Magnetic moment: 0.000 μB/cell
- SG: C2/c (15)
- E_tot: -155.175 eV/cell

Lattice parameters (Å, degrees): 7.5005 7.5005 5.0578 107.28 107.28 93.78
Last column: nearest neighbours and their distance in Å.
Fractional coordinates of all 20 atoms:
Li 0.0393 0.9607 0.7500  4 N 2.01-2.20
Li 0.9607 0.0393 0.2500  4 N 2.01-2.20
Re 0.2218 0.7782 0.2500  4 N 1.77-1.87
Re 0.7782 0.2218 0.7500  4 N 1.77-1.87
P 0.2153 0.3542 0.7735  4 N 1.60-1.68
P 0.3542 0.2153 0.2735  4 N 1.60-1.68
P 0.6458 0.7847 0.7265  4 N 1.60-1.68
P 0.7847 0.6458 0.2265  4 N 1.60-1.68
N 0.0015 0.7754 0.3506  1 P 1.68, 1 Re 1.87
N 0.1918 0.5745 0.9417  1 P 1.67, 1 Re 1.77
N 0.2246 0.9985 0.1494  1 P 1.68, 1 Re 1.87
N 0.2726 0.3576 0.4949  2 P 1.60
N 0.3576 0.2726 0.9949  2 P 1.60
N 0.4255 0.8082 0.5583  1 P 1.67, 1 Re 1.77
N 0.5745 0.1918 0.4417  1 P 1.67, 1 Re 1.77
N 0.6424 0.7274 0.0051  2 P 1.60
N 0.7274 0.6424 0.5051  2 P 1.60
N 0.7754 0.0015 0.8506  1 P 1.68, 1 Re 1.87
N 0.8082 0.4255 0.0583  1 P 1.67, 1 Re 1.77
N 0.9985 0.2246 0.6494  1 P 1.68, 1 Re 1.87



Record 9
VASP calculation (PBE) on a relaxed K2BeHg crystal.

Computed properties:
- Density of states at the Fermi level: 0.778 states/eV per atom
- Crystal system: monoclinic
- E above lowest polymorph: 284 meV per atom
- Magnetic moment: 0.000 μB/cell
- SG: C2/m (12)
- E_tot: -8.526 eV/cell

Lattice parameters (Å, degrees): 7.7766 8.7416 4.1911 90.00 90.11 90.00
Last column: nearest neighbours and their distance in Å.
Fractional coordinates of all 8 atoms:
K 0.2500 0.2500 0.0000  4 Hg 3.60, 4 Be 3.60, 2 K 3.89
K 0.2500 0.7500 0.0000  4 Hg 3.60, 4 Be 3.60, 2 K 3.89
K 0.7500 0.2500 0.0000  4 Hg 3.60, 4 Be 3.60, 2 K 3.89
K 0.7500 0.7500 0.0000  4 Hg 3.60, 4 Be 3.60, 2 K 3.89
Be 0.0000 0.0000 0.5000  8 K 3.60, 2 Hg 3.89
Be 0.5000 0.5000 0.5000  8 K 3.60, 2 Hg 3.89
Hg 0.0000 0.5000 0.5000  8 K 3.60, 2 Be 3.89
Hg 0.5000 0.0000 0.5000  8 K 3.60, 2 Be 3.89



Record 10
VASP calculation (PBE) on a relaxed Y3InO crystal.

Computed properties:
- Density of states at the Fermi level: 0.876 states/eV per atom
- Raw formation energy: -1344 meV/atom
- Crystal system: monoclinic
- Magnetic moment: 0.000 μB/cell
- SG: P2_1/m (11)
- E_tot: -67.614 eV/cell

Lattice parameters (Å, degrees): 3.6808 9.6355 7.5676 90.00 104.07 90.00
Last column: nearest neighbours and their distance in Å.
Fractional coordinates of all 10 atoms:
Y 0.0407 0.2500 0.0771  2 O 2.27
Y 0.3628 0.0623 0.7214  1 O 2.21
Y 0.3628 0.4377 0.7214  1 O 2.21
Y 0.6372 0.5623 0.2786  1 O 2.21
Y 0.6372 0.9377 0.2786  1 O 2.21
Y 0.9593 0.7500 0.9229  2 O 2.27
In 0.2767 0.7500 0.5608  8 Y 3.23-3.31
In 0.7233 0.2500 0.4392  8 Y 3.23-3.31
O 0.4499 0.2500 0.8951  4 Y 2.21-2.27
O 0.5501 0.7500 0.1049  4 Y 2.21-2.27



Record 11
VASP calculation (PBE) on a relaxed AgIO2F crystal.

Computed properties:
- Density of states at the Fermi level: 0.705 states/eV per atom
- Raw formation energy: 218 meV/atom
- Crystal system: tetragonal
- Magnetic moment: 0.000 μB/cell
- SG: P4/mmm (123)
- E_tot: -15.099 eV/cell

Lattice parameters (Å, degrees): 4.2499 4.2499 4.1783 90.00 90.00 90.00
Last column: nearest neighbours and their distance in Å.
Fractional coordinates of all 5 atoms:
Ag 0.0000 0.0000 0.0000  2 F 2.09, 4 O 2.12
I 0.5000 0.5000 0.5000  8 O 2.98, 4 F 3.01
O 0.0000 0.5000 0.0000  2 Ag 2.12
O 0.5000 0.0000 0.0000  2 Ag 2.12
F 0.0000 0.0000 0.5000  2 Ag 2.09



Record 12
VASP calculation (PBE) on a relaxed SnSbPd crystal.

Computed properties:
- Density of states at the Fermi level: 0.322 states/eV per atom
- Raw formation energy: -256 meV/atom
- Crystal system: trigonal
- E above lowest polymorph: 69 meV per atom
- Magnetic moment: 0.000 μB/cell
- SG: P3m1 (156)
- E_tot: -14.086 eV/cell

Lattice parameters (Å, degrees): 3.7139 3.7139 5.8108 90.00 90.00 120.00
Last column: nearest neighbours and their distance in Å.
Fractional coordinates of all 3 atoms:
Sn 0.0000 0.0000 0.0000  3 Pd 2.76
Sb 0.3333 0.6667 0.5886  3 Pd 2.73
Pd 0.6667 0.3333 0.2987  3 Sb 2.73, 3 Sn 2.76